Record 1
This record from Alexandria via LeMat-Bulk describes a geometry-optimized Pr6As2PS3 structure. The functional is PBE-GGA.

Properties
- Formation energy (no corrections): -1.802 eV per atom
- N(E_F): 0.36 states/eV per atom

Lattice parameters (Å, degrees): 18.294 4.203 8.380 90.00 103.12 90.00
Space group C2/m (No. 12)
Unique sites:
1 Pr 0.001 0.000 0.257
2 Pr 0.164 0.500 0.580
3 Pr 0.166 0.500 0.084
4 As 0.167 0.000 0.833
5 P 0.000 0.500 0.500
6 S 0.000 0.500 0.000
7 S 0.167 0.000 0.333



Record 2
This record from Alexandria via LeMat-Bulk describes a geometry-optimized Pr6SbAs2P3 structure. The functional is PBE-GGA.

Properties
- Formation energy (no corrections): -1.437 eV per atom
- N(E_F): 0.15 states/eV per atom

Lattice parameters (Å, degrees): 18.748 4.289 8.616 90.00 103.50 90.00
Space group C2/m (No. 12)
Unique sites:
1 Pr 0.001 0.000 0.235
2 Pr 0.166 0.500 0.086
3 Pr 0.173 0.500 0.583
4 Sb 0.000 0.500 0.500
5 As 0.167 0.000 0.834
6 P 0.000 0.500 0.000
7 P 0.166 0.000 0.332



Q: What is the formula in the second record?
A: Pr6SbAs2P3